The following is a DFT calculation (PBE with a Hubbard U) of a relaxed structure of BaDyW2O8.

```
BaDyW2O8
1.0
6.0300 0.0000 0.0000
-3.0150 5.2222 0.0000
0.0000 0.0000 7.5249
Ba Dy W O
1 1 2 8
direct
0.0000 0.0000 0.0000
0.0000 0.0000 0.5000
0.3333 0.6667 0.7707
0.6667 0.3333 0.2293
0.1641 0.3283 0.6950
0.1641 0.8359 0.6950
0.3283 0.1641 0.3050
0.3333 0.6667 0.0113
0.6667 0.3333 0.9887
0.6717 0.8359 0.6950
0.8359 0.1641 0.3050
0.8359 0.6717 0.3050
```

Results
The calculation puts the total moment at 1.00 μB per cell. The density of states at the Fermi level comes out at 5.1 states/eV/cell. As for the calculated total energy: -89.3 eV per cell. The value obtained for the volume is 19.75 Å³/atom. As for the crystal system: trigonal.